A plane-wave DFT calculation with PBEsol was carried out for a relaxed structure of Zn2BiPb2.

Cell lengths 4.2973, 7.5300, 7.5300 Å; angles 90.00, 90.00, 90.00 degrees
Atoms (fractional coordinates):
1 Pb 0.5000 0.1795 0.6795
2 Pb 0.5000 0.6795 0.8205
3 Pb 0.5000 0.8205 0.3205
4 Pb 0.5000 0.3205 0.1795
5 Zn 0.0000 0.3812 0.8812
6 Zn 0.0000 0.8812 0.6188
7 Zn 0.0000 0.6188 0.1188
8 Zn 0.0000 0.1188 0.3812
9 Bi 0.0000 0.0000 0.0000
10 Bi 0.0000 0.5000 0.5000

Output
The calculation puts the total magnetization at 0.00 μB/f.u. The calculation puts the formation energy at 0.10 eV per atom. Its crystal system is tetragonal. The value obtained for the theoretical density is 10.280 g/cm³.

---

A plane-wave DFT calculation with PBEsol was carried out for a relaxed structure of BiPd.

Cell lengths 4.2560, 4.2560, 5.6170 Å; angles 90.00, 90.00, 120.00 degrees
Atoms (fractional coordinates):
1 Bi 0.3333 0.6667 0.2500
2 Bi 0.6667 0.3333 0.7500
3 Pd 0.0000 0.0000 0.0000
4 Pd 0.0000 0.0000 0.5000

Output
The calculation puts the total magnetization at 0.00 μB/f.u. The calculation puts the formation energy at -0.33 eV per atom. Its crystal system is hexagonal. The value obtained for the theoretical density is 11.888 g/cm³.

---

A plane-wave DFT calculation with PBEsol was carried out for a relaxed structure of BiPd.

Cell lengths 5.6000, 5.6507, 10.6802 Å; angles 90.00, 90.00, 100.38 degrees
Atoms (fractional coordinates):
1 Bi 0.8839 0.8378 0.7123
2 Bi 0.1161 0.1622 0.2123
3 Bi 0.3513 0.3986 0.7071
4 Bi 0.6487 0.6014 0.2071
5 Bi 0.8842 0.3379 0.4914
6 Bi 0.1158 0.6621 0.9914
7 Bi 0.3515 0.8987 0.4966
8 Bi 0.6485 0.1013 0.9966
9 Pd 0.8308 0.8183 0.4406
10 Pd 0.1692 0.1817 0.9406
11 Pd 0.4037 0.4131 0.4328
12 Pd 0.5963 0.5869 0.9328
13 Pd 0.1695 0.6819 0.2631
14 Pd 0.8305 0.3181 0.7631
15 Pd 0.5966 0.0871 0.2709
16 Pd 0.4034 0.9129 0.7709

Output
The calculation puts the total magnetization at 0.00 μB/f.u. The calculation puts the formation energy at -0.33 eV per atom. Its crystal system is monoclinic. The value obtained for the theoretical density is 12.604 g/cm³.

---

A plane-wave DFT calculation with PBEsol was carried out for a relaxed structure of Bi3Pd5.

Cell lengths 4.1952, 4.1952, 10.8446 Å; angles 90.00, 90.00, 120.00 degrees
Atoms (fractional coordinates):
1 Bi 0.0000 0.0000 0.0000
2 Bi 0.6667 0.3333 0.2739
3 Bi 0.6667 0.3333 0.7261
4 Pd 0.3333 0.6667 0.3818
5 Pd 0.3333 0.6667 0.8714
6 Pd 0.3333 0.6667 0.1286
7 Pd 0.3333 0.6667 0.6182
8 Pd 0.0000 0.0000 0.5000

Output
The calculation puts the total magnetization at 0.00 μB/f.u. The calculation puts the formation energy at -0.18 eV per atom. Its crystal system is hexagonal. The value obtained for the theoretical density is 11.644 g/cm³.

---

A plane-wave DFT calculation with PBEsol was carried out for a relaxed structure of RbBiPd2.

Cell lengths 6.6366, 6.6366, 6.6366 Å; angles 106.61, 106.61, 115.36 degrees
Atoms (fractional coordinates):
1 Rb 0.5000 0.5000 0.0000
2 Rb 0.7500 0.2500 0.5000
3 Bi 0.0000 0.0000 0.0000
4 Bi 0.2500 0.7500 0.5000
5 Pd 0.9387 0.8750 0.5637
6 Pd 0.3113 0.3750 0.4363
7 Pd 0.1250 0.6887 0.0637
8 Pd 0.6250 0.0613 0.9363

Output
The calculation puts the total magnetization at 0.00 μB/f.u. The calculation puts the formation energy at 0.24 eV per atom. Its crystal system is tetragonal. The value obtained for the theoretical density is 7.548 g/cm³.

---

A plane-wave DFT calculation with PBEsol was carried out for a relaxed structure of Rb2ReBiPd.

Cell lengths 4.9956, 6.8915, 6.8915 Å; angles 90.00, 90.00, 90.00 degrees
Each line ends with the local moment (μB).
Atoms (fractional coordinates):
1 Re 0.5000 0.5000 0.5000  3.82
2 Rb 0.0000 0.0000 0.5000  0.00
3 Rb 0.0000 0.5000 0.0000  0.00
4 Bi 0.0000 0.0000 0.0000  0.04
5 Pd 0.5000 0.0000 0.0000  0.02

Output
The calculation puts the total magnetization at 4.70 μB/f.u. The calculation puts the formation energy at 1.59 eV per atom. Its crystal system is tetragonal. The value obtained for the theoretical density is 4.707 g/cm³.

---

A plane-wave DFT calculation with PBEsol was carried out for a relaxed structure of ReBi2Pd.

Cell lengths 6.0806, 6.0806, 7.5377 Å; angles 113.79, 113.79, 90.00 degrees
Atoms (fractional coordinates):
1 Re 0.2500 0.7500 0.5000
2 Re 0.0000 0.0000 0.0000
3 Bi 0.3702 0.8750 0.2500
4 Bi 0.8798 0.3750 0.2500
5 Bi 0.1250 0.1202 0.7500
6 Bi 0.6250 0.6298 0.7500
7 Pd 0.7500 0.2500 0.5000
8 Pd 0.5000 0.5000 0.0000

Output
The calculation puts the total magnetization at 0.00 μB/f.u. The calculation puts the formation energy at 1.02 eV per atom. Its crystal system is tetragonal. The value obtained for the theoretical density is 10.309 g/cm³.

---

A plane-wave DFT calculation with PBEsol was carried out for a relaxed structure of Bi3PdRh.

Cell lengths 5.1763, 5.1763, 5.1763 Å; angles 90.00, 90.00, 90.00 degrees
Atoms (fractional coordinates):
1 Rh 0.5000 0.5000 0.5000
2 Bi 0.0000 0.5000 0.0000
3 Bi 0.0000 0.0000 0.5000
4 Bi 0.5000 0.0000 0.0000
5 Pd 0.0000 0.0000 0.0000

Output
The calculation puts the total magnetization at 0.00 μB/f.u. The calculation puts the formation energy at 0.75 eV per atom. Its crystal system is cubic. The value obtained for the theoretical density is 10.012 g/cm³.

---

Q: Look up the total magnetization of the seventh one.
A: 0.00 μB/f.u.

---

Q: total magnetization of number 7 (ReBi2Pd)?
A: 0.00 μB/f.u.